A plane-wave DFT calculation with PBE-GGA was carried out for crystalline NdBeC at its relaxed geometry.

Structure (POSCAR):
```
NdBeC
1.0
3.4118 0.0000 0.0000
-1.7059 2.9547 0.0000
0.0000 0.0000 4.0436
Nd Be C
1 1 1
Direct
0.0000 0.0000 0.0000
0.3333 0.6667 0.5000
0.6667 0.3333 0.5000
```

Calculated values
For the energy, the calculation gives -0.4373 Ry per atom. The calculated formation energy is -0.043 eV per atom. For the spin magnetization, the calculation gives 0.62 Bohr magnetons per cell. The energy above the most stable polymorph in this dataset comes out at 58.7 meV/atom.

A plane-wave DFT calculation with PBE-GGA was carried out for crystalline Hg2OsN at its relaxed geometry.

Structure (POSCAR):
```
Hg2OsN
1.0
-4.7204 4.7204 1.8607
4.7204 -4.7204 1.8607
4.7204 4.7204 -1.8607
Hg Os N
4 2 2
Direct
0.9996 0.6250 0.8746
0.3750 0.2496 0.3746
0.7504 0.1250 0.1254
0.8750 0.0004 0.6254
0.2500 0.7500 0.5000
0.5000 0.5000 0.0000
0.0000 0.0000 0.0000
0.7500 0.2500 0.5000
```

Calculated values
For the energy, the calculation gives -0.3075 Ry per atom. For the spin magnetization, the calculation gives 0.00 Bohr magnetons per cell. As for the formation energy from raw total energies: 0.856 eV/atom.

A plane-wave DFT calculation with PBE-GGA was carried out for crystalline Ho3Cu2Hg3 at its relaxed geometry.

Structure (POSCAR):
```
Ho3Cu2Hg3
1.0
7.3973 0.0000 0.0000
-3.6987 6.4063 0.0000
0.0000 0.0000 3.7750
Ho Cu Hg
3 2 3
Direct
0.0000 0.5919 0.0000
0.4081 0.4081 0.0000
0.5919 0.0000 0.0000
0.3333 0.6667 0.5000
0.6667 0.3333 0.5000
0.0000 0.2444 0.5000
0.2444 0.0000 0.5000
0.7556 0.7556 0.5000
```

Calculated values
For the energy, the calculation gives -0.2362 Ry per atom. The calculated formation energy is -0.360 eV per atom. For the spin magnetization, the calculation gives 0.00 Bohr magnetons per cell.

A plane-wave DFT calculation with PBE-GGA was carried out for crystalline CdSi2Ag2 at its relaxed geometry.

Structure (POSCAR):
```
CdSi2Ag2
1.0
8.1898 0.0000 0.0000
0.0000 8.1898 0.0000
0.0000 0.0000 2.7856
Cd Si Ag
2 4 4
Direct
0.0000 0.0000 0.0000
0.5000 0.5000 0.0000
0.1075 0.3925 0.0000
0.3925 0.8925 0.0000
0.6075 0.1075 0.0000
0.8925 0.6075 0.0000
0.1897 0.6897 0.5000
0.3103 0.1897 0.5000
0.6897 0.8103 0.5000
0.8103 0.3103 0.5000
```

Calculated values
For the energy, the calculation gives -0.2325 Ry per atom. For the spin magnetization, the calculation gives 0.00 Bohr magnetons per cell. The energy above the most stable polymorph in this dataset comes out at 84.5 meV/atom. As for the formation energy from raw total energies: 0.330 eV/atom.